First-principles (PBE) data for an optimized crystal structure of TlMo2Cl, as listed in Alexandria via LeMat-Bulk.

```
data_TlMo2Cl
_cell_length_a 6.626
_cell_length_b 6.626
_cell_length_c 4.959
_cell_angle_alpha 81.39
_cell_angle_beta 81.39
_cell_angle_gamma 28.19
_space_group_name_H-M_alt 'P 1'
_space_group_IT_number 1
loop_
_space_group_symop_operation_xyz
'x,y,z'
loop_
_atom_site_label
_atom_site_type_symbol
_atom_site_fract_x
_atom_site_fract_y
_atom_site_fract_z
_atom_site_occupancy
Tl1 Tl 0.533 0.533 0.495 1
Mo1 Mo 0.652 0.652 0.939 1
Mo2 Mo 0.013 0.013 0.011 1
Cl1 Cl 0.302 0.302 0.054 1
```

Volume = 101.6 Å³/cell
SG = Cm (8)
Electronic total energy = -24.14 eV/cell
Magnetic moment = 0.00 μB/f.u.
Crystal system = monoclinic



First-principles (PBE) data for an optimized crystal structure of Tl2MoCl, as listed in Alexandria via LeMat-Bulk.

```
data_Tl2MoCl
_cell_length_a 7.925
_cell_length_b 7.925
_cell_length_c 4.400
_cell_angle_alpha 73.90
_cell_angle_beta 73.90
_cell_angle_gamma 22.26
_space_group_name_H-M_alt 'P 1'
_space_group_IT_number 1
loop_
_space_group_symop_operation_xyz
'x,y,z'
loop_
_atom_site_label
_atom_site_type_symbol
_atom_site_fract_x
_atom_site_fract_y
_atom_site_fract_z
_atom_site_occupancy
Tl1 Tl 0.430 0.430 0.570 1
Tl2 Tl 0.070 0.070 0.930 1
Mo1 Mo 0.750 0.750 0.750 1
Cl1 Cl 0.250 0.250 0.250 1
```

Volume = 100.4 Å³/cell
SG = Immm (71)
Electronic total energy = -15.77 eV/cell
Magnetic moment = 2.09 μB/f.u.
Crystal system = orthorhombic



First-principles (PBE) data for an optimized crystal structure of TlMoCl2, as listed in Alexandria via LeMat-Bulk.

```
data_TlMoCl2
_cell_length_a 3.411
_cell_length_b 3.411
_cell_length_c 9.907
_cell_angle_alpha 90.00
_cell_angle_beta 90.00
_cell_angle_gamma 125.76
_space_group_name_H-M_alt 'P 1'
_space_group_IT_number 1
loop_
_space_group_symop_operation_xyz
'x,y,z'
loop_
_atom_site_label
_atom_site_type_symbol
_atom_site_fract_x
_atom_site_fract_y
_atom_site_fract_z
_atom_site_occupancy
Cl1 Cl 0.000 0.000 0.057 1
Cl2 Cl 0.000 0.000 0.443 1
Mo1 Mo 0.500 0.500 0.250 1
Tl1 Tl 0.500 0.500 0.750 1
```

Volume = 93.5 Å³/cell
SG = Cmmm (65)
Electronic total energy = -17.47 eV/cell
Magnetic moment = 1.53 μB/f.u.
Crystal system = orthorhombic



First-principles (PBE) data for an optimized crystal structure of TlMoCl2, as listed in Alexandria via LeMat-Bulk.

```
data_TlMoCl2
_cell_length_a 5.165
_cell_length_b 5.165
_cell_length_c 5.165
_cell_angle_alpha 60.00
_cell_angle_beta 60.00
_cell_angle_gamma 60.00
_space_group_name_H-M_alt 'P 1'
_space_group_IT_number 1
loop_
_space_group_symop_operation_xyz
'x,y,z'
loop_
_atom_site_label
_atom_site_type_symbol
_atom_site_fract_x
_atom_site_fract_y
_atom_site_fract_z
_atom_site_occupancy
Cl1 Cl 0.750 0.750 0.750 1
Cl2 Cl 0.000 0.000 0.000 1
Mo1 Mo 0.500 0.500 0.500 1
Tl1 Tl 0.250 0.250 0.250 1
```

Volume = 97.4 Å³/cell
SG = F-43m (216)
Electronic total energy = -15.10 eV/cell
Magnetic moment = 5.00 μB/f.u.
Crystal system = cubic



First-principles (PBE) data for an optimized crystal structure of Tl2MoCl, as listed in Alexandria via LeMat-Bulk.

```
data_Tl2MoCl
_cell_length_a 8.072
_cell_length_b 8.072
_cell_length_c 8.072
_cell_angle_alpha 158.07
_cell_angle_beta 145.65
_cell_angle_gamma 41.13
_space_group_name_H-M_alt 'P 1'
_space_group_IT_number 1
loop_
_space_group_symop_operation_xyz
'x,y,z'
loop_
_atom_site_label
_atom_site_type_symbol
_atom_site_fract_x
_atom_site_fract_y
_atom_site_fract_z
_atom_site_occupancy
Tl1 Tl 0.079 0.079 0.000 1
Tl2 Tl 0.739 0.239 0.500 1
Mo1 Mo 0.279 0.779 0.500 1
Cl1 Cl 0.403 0.403 0.000 1
```

Volume = 110.6 Å³/cell
SG = Imm2 (44)
Electronic total energy = -16.51 eV/cell
Magnetic moment = 0.00 μB/f.u.
Crystal system = orthorhombic



First-principles (PBE) data for an optimized crystal structure of TlMoCl2, as listed in Alexandria via LeMat-Bulk.

```
data_TlMoCl2
_cell_length_a 5.216
_cell_length_b 5.216
_cell_length_c 3.724
_cell_angle_alpha 90.00
_cell_angle_beta 90.00
_cell_angle_gamma 90.00
_space_group_name_H-M_alt 'P 1'
_space_group_IT_number 1
loop_
_space_group_symop_operation_xyz
'x,y,z'
loop_
_atom_site_label
_atom_site_type_symbol
_atom_site_fract_x
_atom_site_fract_y
_atom_site_fract_z
_atom_site_occupancy
Mo1 Mo 0.500 0.000 0.500 1
Cl1 Cl 0.500 0.500 0.000 1
Cl2 Cl 0.000 0.000 0.000 1
Tl1 Tl 0.000 0.500 0.500 1
```

Volume = 101.3 Å³/cell
SG = P4/mmm (123)
Electronic total energy = -15.90 eV/cell
Magnetic moment = 5.00 μB/f.u.
Crystal system = tetragonal



| no. | E above lowest polymorph (eV/atom) | uncorrected formation energy (eV/atom) |
| --- | --- | --- |
| 1 | 0.2699 | 0.43 |
| 2 | 0.2803 | 0.41 |
| 3 | 0.0938 | -0.14 |
| 4 | 0.6845 | 0.45 |
| 5 | 0.0946 | 0.22 |
| 6 | 0.4856 | 0.25 |